Material: Zn5CuIr
Method: DFT, PBE
State: relaxed

a = 9.458 Å, b = 7.276 Å, c = 6.675 Å
α = 90.00°, β = 112.31°, γ = 90.00°
Space group C2/c (No. 15)
Inequivalent atoms, fractional coordinates:
Zn  0.000  0.074  0.250 [4 per cell]
Zn  0.091  0.400  0.144 [8 per cell]
Zn  0.209  0.098  0.070 [8 per cell]
Cu  0.250  0.250  0.500 [4 per cell]
Ir  0.000  0.287  0.750 [4 per cell]

## Properties
The value obtained for the density of states at the Fermi level is 0.266 states/eV/atom. The calculation puts the volume at 15.177 Å³ per atom. The formation energy is 0.015 eV per atom. As for the total energy: -76.9 eV per cell.